Computed, not measured: a relaxed structure of TbPr2HoBi4 at the PBE level of DFT.

Lattice parameters (Å, degrees): 7.890 4.565 7.901 90.00 109.49 90.00
Positions (direct):
Tb  0.000  0.000  0.000
Pr  0.500  0.000  0.500
Pr  0.500  0.500  0.000
Ho  0.000  0.500  0.500
Bi  0.239  0.000  0.745
Bi  0.240  0.500  0.248
Bi  0.760  0.500  0.752
Bi  0.761  0.000  0.255

Computed properties:
The energy relative to the elements is -905 meV/atom. The space group is No. 10. As for the total magnetic moment: 0.0 μB per formula unit.

=====

Computed, not measured: a relaxed structure of V3InAs at the PBE level of DFT.

Lattice parameters (Å, degrees): 4.958 4.958 4.958 90.00 90.00 90.00
Positions (direct):
V  0.000  0.000  0.500
V  0.000  0.500  0.000
V  0.500  0.000  0.000
In  0.000  0.000  0.000
As  0.500  0.500  0.500

Computed properties:
The energy relative to the elements is 1592 meV/atom. As for the excess energy over the best structure of this formula in the dataset: 1102 meV/atom. The space group is No. 221. As for the total magnetic moment: 7.3 μB per formula unit.

=====

Computed, not measured: a relaxed structure of TlCoBr2 at the PBE level of DFT.

Lattice parameters (Å, degrees): 7.486 7.486 7.486 90.00 90.00 90.00
Positions (direct):
Tl  0.000  0.000  0.000
Tl  0.000  0.500  0.500
Tl  0.500  0.000  0.500
Tl  0.500  0.500  0.000
Co  0.250  0.250  0.250
Co  0.250  0.750  0.750
Co  0.750  0.250  0.750
Co  0.750  0.750  0.250
Br  0.000  0.000  0.500
Br  0.000  0.500  0.000
Br  0.250  0.250  0.750
Br  0.250  0.750  0.250
Br  0.500  0.000  0.000
Br  0.500  0.500  0.500
Br  0.750  0.250  0.250
Br  0.750  0.750  0.750

Computed properties:
For the formation energy (no corrections), the calculation gives 0.469 eV per atom. As for the excess energy over the best structure of this formula in the dataset: 718 meV/atom. The space group is No. 216. As for the total magnetic moment: 2.0 μB per formula unit.

=====

Computed, not measured: a relaxed structure of Ac6MgSn3 at the PBE level of DFT.

Lattice parameters (Å, degrees): 8.824 8.824 9.695 90.00 90.00 89.81
Positions (direct):
Ac  0.004  0.494  0.750
Ac  0.166  0.834  0.506
Ac  0.166  0.834  0.994
Ac  0.326  0.326  0.000
Ac  0.326  0.326  0.500
Ac  0.494  0.004  0.250
Ac  0.506  0.996  0.750
Ac  0.674  0.674  0.000
Ac  0.674  0.674  0.500
Ac  0.834  0.166  0.006
Ac  0.834  0.166  0.494
Ac  0.996  0.506  0.250
Mg  0.384  0.616  0.250
Mg  0.616  0.384  0.750
Sn  0.125  0.127  0.250
Sn  0.127  0.125  0.750
Sn  0.374  0.626  0.750
Sn  0.626  0.374  0.250
Sn  0.873  0.875  0.250
Sn  0.875  0.873  0.750

Computed properties:
The energy relative to the elements is -476 meV/atom. The space group is No. 63. As for the total magnetic moment: 0.0 μB per formula unit.

=====

Computed, not measured: a relaxed structure of Cs3Ca2TaO6 at the PBE level of DFT.

Lattice parameters (Å, degrees): 6.068 6.068 7.057 98.12 98.12 120.03
Positions (direct):
Cs  0.000  0.000  0.000
Cs  0.332  0.668  0.000
Cs  0.668  0.332  0.000
Ca  0.167  0.833  0.500
Ca  0.833  0.167  0.500
Ta  0.500  0.500  0.500
O  0.160  0.445  0.337
O  0.270  0.270  0.667
O  0.445  0.160  0.337
O  0.555  0.840  0.663
O  0.730  0.730  0.333
O  0.840  0.555  0.663

Computed properties:
For the formation energy (no corrections), the calculation gives -2.318 eV per atom. The space group is No. 12. As for the total magnetic moment: 0.0 μB per formula unit.

=====

Computed, not measured: a relaxed structure of YAs2HBr at the PBE level of DFT.

Lattice parameters (Å, degrees): 5.640 5.640 5.654 90.00 90.00 90.00
Positions (direct):
Y  0.000  0.000  0.000
As  0.000  0.500  0.000
As  0.500  0.000  0.000
H  0.500  0.500  0.500
Br  0.000  0.000  0.500

Computed properties:
As for the excess energy over the best structure of this formula in the dataset: 715 meV/atom. The space group is No. 123. As for the total magnetic moment: 3.0 μB per formula unit.